CoAsF2 | PBE with a Hubbard U | relaxed

Summary:
* DFT total energy: -3.668 eV per atom

```
data_CoAsF2
_chemical_formula_sum 'Co4 As4 F8'
_symmetry_space_group_name_H-M 'F m -3 m'
_symmetry_Int_Tables_number 225
_symmetry_space_group_name_Hall '-F 4 2 3'
_cell_length_a 5.985
_cell_length_b 5.985
_cell_length_c 5.985
_cell_angle_alpha 90.00
_cell_angle_beta 90.00
_cell_angle_gamma 90.00
loop_
_atom_site_label
_atom_site_type_symbol
_atom_site_fract_x
_atom_site_fract_y
_atom_site_fract_z
Co1 Co 0.000 0.000 0.000
As1 As 0.000 0.000 0.500
F1 F 0.250 0.250 0.250
```

---

CoAsF2 | PBE with a Hubbard U | relaxed

Summary:
* DFT total energy: -4.322 eV per atom

```
data_CoAsF2
_chemical_formula_sum 'Co3 As3 F6'
_symmetry_space_group_name_H-M 'R -3 m'
_symmetry_Int_Tables_number 166
_symmetry_space_group_name_Hall '-R 3 2"'
_cell_length_a 2.9776
_cell_length_b 2.9776
_cell_length_c 27.4755
_cell_angle_alpha 90.00
_cell_angle_beta 90.00
_cell_angle_gamma 120.00
loop_
_atom_site_label
_atom_site_type_symbol
_atom_site_fract_x
_atom_site_fract_y
_atom_site_fract_z
Co1 Co 0.0000 0.0000 0.0000
As1 As 0.0000 0.0000 0.5000
F1 F 0.0000 0.0000 0.3732
```